Record 1
Y2TlBi: relaxed, PBE.

Cell lengths 5.4604, 5.4604, 5.4604 Å; angles 60.00, 60.00, 60.00 degrees
Fractional coordinates of all 4 atoms:
Y1 0.2500 0.2500 0.2500
Y2 0.7500 0.7500 0.7500
Tl1 0.0000 0.0000 0.0000
Bi1 0.5000 0.5000 0.5000

Properties
The energy of formation comes out at -0.433 eV/atom. As for the excess energy over the best structure of this formula in the dataset: 181.1 meV per atom.

---

Record 2
LiBe2Rh: relaxed, PBE.

Cell lengths 4.4851, 4.4851, 3.7722 Å; angles 114.24, 114.24, 37.33 degrees
Fractional coordinates of all 4 atoms:
Li1 0.0000 0.0000 0.0000
Be1 0.2466 0.2466 0.7483
Be2 0.5156 0.5156 0.5163
Rh1 0.7686 0.7686 0.2707

Properties
The energy of formation comes out at -0.263 eV/atom.

---

Record 3
TlOsPb2: relaxed, PBE.

Cell lengths 3.6641, 5.1188, 5.1189 Å; angles 90.00, 90.00, 90.00 degrees
Fractional coordinates of all 4 atoms:
Tl1 0.0000 0.0000 0.0000
Os1 0.5000 0.0000 0.5000
Pb1 0.0000 0.5000 0.5000
Pb2 0.5000 0.5000 0.0000

Properties
The energy of formation comes out at 0.982 eV/atom. As for the excess energy over the best structure of this formula in the dataset: 510.9 meV per atom.

---

Among the records above, which one has the lowest energy of formation?
Y2TlBi

---

energy of formation of number 1 (Y2TlBi)?
-0.433 eV/atom

---

Repeat the third record exactly.
TlOsPb2: relaxed, PBE.

Cell lengths 3.6641, 5.1188, 5.1189 Å; angles 90.00, 90.00, 90.00 degrees
Fractional coordinates of all 4 atoms:
Tl1 0.0000 0.0000 0.0000
Os1 0.5000 0.0000 0.5000
Pb1 0.0000 0.5000 0.5000
Pb2 0.5000 0.5000 0.0000

Properties
The energy of formation comes out at 0.982 eV/atom. As for the excess energy over the best structure of this formula in the dataset: 510.9 meV per atom.

---

Look up the energy of formation of the third one.
0.982 eV/atom